1.
! Ba2GeRh (PBE, relaxed); values from VASP
&SYSTEM
  ibrav = 0, nat = 4, ntyp = 3
/
ATOMIC_SPECIES
Rh 102.91 Rh.upf
Ba 137.33 Ba.upf
Ge 72.64 Ge.upf
CELL_PARAMETERS angstrom
4.432 0.000 0.000
2.216 3.838 0.000
2.216 1.279 8.844
ATOMIC_POSITIONS angstrom
Rh 2.216 1.279 7.338
Ba 2.216 1.279 0.651
Ba 4.432 2.559 5.174
Ge 6.648 3.838 7.333
! E_tot = -4.452 eV per atom
! space group = R3m (160)


2.
! BaGe2Rh (PBE, relaxed); values from VASP
&SYSTEM
  ibrav = 0, nat = 4, ntyp = 3
/
ATOMIC_SPECIES
Ge 72.64 Ge.upf
Rh 102.91 Rh.upf
Ba 137.33 Ba.upf
CELL_PARAMETERS angstrom
2.921 -1.070 3.867
2.521 3.615 2.280
-1.305 1.435 4.568
ATOMIC_POSITIONS angstrom
Ge 1.034 0.995 2.679
Ge 3.103 2.986 8.036
Rh 0.000 0.000 0.000
Ba 2.069 1.990 5.357
! E_tot = -4.613 eV per atom
! space group = Fm-3m (225)


Values for energy of formation from the pure elements, eV per atom, ordered as above
-0.50; 0.01